(1)
Here is TcNiTe2H after structural relaxation from Alexandria. Energies are from GGA-PBE.

POSCAR file:
```
TcNiTe2H
1.0
5.1182 0.0000 0.0000
0.0000 4.7010 0.0000
0.0000 0.0000 5.1182
Te H Ni Tc
2 1 1 1
Direct
0.5000 0.0000 0.0000
0.0000 0.0000 0.5000
0.5000 0.5000 0.5000
0.0000 0.5000 0.0000
0.0000 0.0000 0.0000
```

Results
As for the calculated density: 5.57 Mg/m³. Its symmetry is P4/mmm, No. 123. The calculation puts the electronic total energy at -4.088 eV/atom. As for the crystal system: tetragonal.

---

(2)
Here is Ac3Lu after structural relaxation from Alexandria. Energies are from GGA-PBE.

POSCAR file:
```
Ac3Lu
1.0
5.4543 0.0000 0.0000
0.0000 5.4543 0.0000
0.0000 0.0000 5.4543
Lu Ac
1 3
Direct
0.0000 0.0000 0.0000
0.5000 0.5000 0.0000
0.0000 0.5000 0.5000
0.5000 0.0000 0.5000
```

Results
As for the calculated density: 8.76 Mg/m³. Its symmetry is Pm-3m, No. 221. The calculation puts the electronic total energy at -4.163 eV/atom. As for the crystal system: cubic.

---

(3)
Here is MgMoPt after structural relaxation from Alexandria. Energies are from GGA-PBE.

POSCAR file:
```
MgMoPt
1.0
2.7991 0.0000 0.0135
-1.6673 5.2163 -0.2161
-0.1605 -2.3889 6.8811
Mg Pt Mo
2 2 2
Direct
0.2778 0.6739 0.0681
0.9849 0.0883 0.4137
0.5365 0.2550 0.1572
0.6401 0.4321 0.7342
0.8516 0.0151 0.8014
0.2887 0.6596 0.4902
```

Results
As for the calculated density: 10.57 Mg/m³. Its symmetry is P1, No. 1. The calculation puts the electronic total energy at -6.348 eV/atom. As for the crystal system: triclinic.

---

(4)
Here is HfTl2 after structural relaxation from Alexandria. Energies are from GGA-PBE.

POSCAR file:
```
HfTl2
1.0
4.4858 -0.0074 0.0006
0.0033 4.4859 0.0006
-2.2355 -2.2302 14.2170
Tl Hf
8 4
Direct
0.1237 0.8746 0.7482
0.2130 0.4626 0.9244
0.7870 0.5374 0.0756
0.3746 0.6237 0.2482
0.9626 0.7130 0.4244
0.0374 0.2870 0.5756
0.8763 0.1254 0.2518
0.6254 0.3763 0.7518
0.4568 0.2082 0.4115
0.2918 0.0432 0.0885
0.5432 0.7918 0.5885
0.7082 0.9568 0.9115
```

Results
As for the calculated density: 13.63 Mg/m³. Its symmetry is C2/c, No. 15. The calculation puts the electronic total energy at -4.697 eV/atom. As for the crystal system: monoclinic.

---

(5)
Here is Cs2ZrOs after structural relaxation from Alexandria. Energies are from GGA-PBE.

POSCAR file:
```
Cs2ZrOs
1.0
2.6258 -9.5214 0.5423
2.0815 9.6439 0.7124
-4.8187 -0.2135 8.6359
Cs Os Zr
4 2 2
Direct
0.0380 0.8750 0.6630
0.6250 0.9620 0.8370
0.1250 0.7880 0.1630
0.2120 0.3750 0.3370
0.0000 0.0000 0.0000
0.2500 0.7500 0.5000
0.7500 0.2500 0.5000
0.5000 0.5000 0.0000
```

Results
As for the calculated density: 4.06 Mg/m³. Its symmetry is I-42d, No. 122. The calculation puts the electronic total energy at -4.184 eV/atom. As for the crystal system: tetragonal.

---

(6)
Here is LiMoCl6 after structural relaxation from Alexandria. Energies are from GGA-PBE.

POSCAR file:
```
LiMoCl6
1.0
-4.3393 0.5025 4.5692
-6.1367 -0.5947 -1.3916
-3.1631 -5.5891 1.9831
Mo Li Cl
1 1 6
Direct
0.0000 0.0000 0.0000
0.5000 0.5000 0.5000
0.3788 0.7702 0.7611
0.7703 0.0897 0.7612
0.9102 0.6211 0.2389
0.0898 0.3789 0.7611
0.6212 0.2298 0.2389
0.2297 0.9103 0.2388
```

Results
As for the calculated density: 2.68 Mg/m³. Its symmetry is R-3, No. 148. The calculation puts the electronic total energy at -3.984 eV/atom. As for the crystal system: trigonal. The raw formation energy is -8.05 eV/f.u.

---

(7)
Here is Ac2ScAl4Ga3 after structural relaxation from Alexandria. Energies are from GGA-PBE.

POSCAR file:
```
Ac2ScAl4Ga3
1.0
4.4193 0.0000 0.0000
0.0000 4.4193 0.0000
0.0000 0.0000 11.7350
Al Sc Ac Ga
4 1 2 3
Direct
0.5000 0.0000 0.6458
0.5000 0.5000 0.0000
0.0000 0.5000 0.3542
0.0000 0.0000 0.0000
0.5000 0.5000 0.5000
0.5000 0.0000 0.2392
0.0000 0.5000 0.7608
0.0000 0.0000 0.5000
0.5000 0.0000 0.8714
0.0000 0.5000 0.1286
```

Results
As for the calculated density: 5.91 Mg/m³. Its symmetry is P-4m2, No. 115. The calculation puts the electronic total energy at -4.283 eV/atom. As for the crystal system: tetragonal.

---

(8)
Here is La2Sm3Hg2 after structural relaxation from Alexandria. Energies are from GGA-PBE.

POSCAR file:
```
La2Sm3Hg2
1.0
-2.0929 -2.3539 3.6908
-2.1716 -2.1872 -5.8158
7.4481 -3.2997 2.1190
La Sm Hg
2 3 2
Direct
0.1373 0.2745 0.7929
0.8627 0.7255 0.2071
0.6300 0.2599 0.4619
0.3700 0.7401 0.5381
0.5000 0.0000 0.0000
0.8515 0.7030 0.7983
0.1485 0.2970 0.2017
```

Results
As for the calculated density: 8.25 Mg/m³. Its symmetry is C2/m, No. 12. The calculation puts the electronic total energy at -3.721 eV/atom. As for the crystal system: monoclinic.

---

(9)
Here is LiPr2CdHg4 after structural relaxation from Alexandria. Energies are from GGA-PBE.

POSCAR file:
```
LiPr2CdHg4
1.0
5.1972 0.0000 0.0000
2.5986 4.5009 0.0000
2.5986 1.5003 8.4556
Pr Hg Li Cd
2 4 1 1
Direct
0.7472 0.7472 0.7585
0.2528 0.2528 0.2415
0.1290 0.1290 0.6129
0.6196 0.6196 0.1411
0.3804 0.3804 0.8589
0.8710 0.8710 0.3871
0.5000 0.5000 0.5000
0.0000 0.0000 0.0000
```

Results
As for the calculated density: 10.10 Mg/m³. Its symmetry is R-3m, No. 166. The calculation puts the electronic total energy at -2.152 eV/atom. As for the crystal system: trigonal.

---

(10)
Here is TaP2SeCl after structural relaxation from Alexandria. Energies are from GGA-PBE.

POSCAR file:
```
TaP2SeCl
1.0
4.7848 0.0000 0.0000
0.0000 4.7848 0.0000
0.0000 0.0000 4.5072
Cl Se P Ta
1 1 2 1
Direct
0.0000 0.0000 0.5000
0.0000 0.0000 0.0000
0.0000 0.5000 0.0000
0.5000 0.0000 0.0000
0.5000 0.5000 0.5000
```

Results
As for the calculated density: 5.75 Mg/m³. Its symmetry is P4/mmm, No. 123. The calculation puts the electronic total energy at -4.325 eV/atom. As for the crystal system: tetragonal. The raw formation energy is 6.38 eV/f.u.

---

(11)
Here is Ba2CdInAu6 after structural relaxation from Alexandria. Energies are from GGA-PBE.

POSCAR file:
```
Ba2CdInAu6
1.0
-6.6305 -1.8790 -3.0052
-2.9954 -0.4371 6.8820
-6.1527 3.9803 1.6817
Au Ba Cd In
6 2 1 1
Direct
0.2500 0.2500 0.0000
0.7500 0.2500 0.0000
0.7500 0.7500 0.5001
0.2500 0.7500 0.0000
0.2500 0.2500 0.4999
0.7500 0.7500 0.0000
0.7500 0.2500 0.5000
0.2500 0.7500 0.5000
0.5000 0.5000 0.0000
0.0000 0.0000 0.0000
```

Results
As for the calculated density: 9.30 Mg/m³. Its symmetry is Fm-3m, No. 225. The calculation puts the electronic total energy at -3.026 eV/atom. As for the crystal system: cubic.

---

(12)
Here is AgINF2 after structural relaxation from Alexandria. Energies are from GGA-PBE.

POSCAR file:
```
AgINF2
1.0
-2.5496 -2.9541 -2.7549
3.5886 -3.1520 0.0588
-1.5678 -1.7234 3.2990
F N I Ag
2 1 1 1
Direct
0.5000 0.0000 0.0000
0.0000 0.5000 0.0000
0.0000 0.0000 0.5000
0.0000 0.0000 0.0000
0.5000 0.5000 0.5000
```

Results
As for the calculated density: 5.17 Mg/m³. Its symmetry is P4/mmm, No. 123. The calculation puts the electronic total energy at -3.064 eV/atom. As for the crystal system: tetragonal. The raw formation energy is 1.15 eV/f.u.